(1)
A plane-wave DFT calculation with PBE-GGA was carried out for crystalline Ac2Cd2HgPd5 at its relaxed geometry.

DFT total energy = -4.071 eV per atom
ΔH_f (0 K) = -0.439 eV/atom

Unit cell a=10.5584 b=10.5584 c=3.9380 alpha=90.00 beta=90.00 gamma=90.00
Space group P4/mbm (No. 127)
Asymmetric unit:
1 Ac 0.1773 0.3227 0.0000 (multiplicity 4)
2 Cd 0.1213 0.6213 0.0000 (multiplicity 4)
3 Hg 0.0000 0.0000 0.0000 (multiplicity 2)
4 Pd 0.0000 0.5000 0.5000 (multiplicity 2)
5 Pd 0.0555 0.8016 0.5000 (multiplicity 8)

(2)
A plane-wave DFT calculation with PBE-GGA was carried out for crystalline LaCoCl2 at its relaxed geometry.

DFT total energy = -4.575 eV per atom
Polymorph energy (0 for the lowest one) = 0.472 eV per atom
Energy relative to the elements, uncorrected = -0.64 eV/atom

Unit cell a=3.6910 b=3.6910 c=21.0406 alpha=90.00 beta=90.00 gamma=120.00
Space group R-3m (No. 166, hexagonal axes)
Asymmetric unit:
1 La 0.0000 0.0000 0.0000 (multiplicity 3)
2 Co 0.0000 0.0000 0.5000 (multiplicity 3)
3 Cl 0.0000 0.0000 0.2274 (multiplicity 6)

(3)
A plane-wave DFT calculation with PBE-GGA was carried out for crystalline AgTe2Br at its relaxed geometry.

DFT total energy = -2.422 eV per atom
Energy relative to the elements, uncorrected = 0.28 eV/atom

Unit cell a=7.4850 b=7.4850 c=7.4850 alpha=90.00 beta=90.00 gamma=90.00
Space group F-43m (No. 216)
Asymmetric unit:
1 Ag 0.0000 0.0000 0.0000 (multiplicity 4)
2 Te 0.0000 0.0000 0.5000 (multiplicity 4)
3 Te 0.2500 0.2500 0.7500 (multiplicity 4)
4 Br 0.2500 0.2500 0.2500 (multiplicity 4)

(4)
A plane-wave DFT calculation with PBE-GGA was carried out for crystalline K2ScU2Se6 at its relaxed geometry.

DFT total energy = -6.106 eV per atom
Energy relative to the elements, uncorrected = -1.38 eV/atom

Unit cell a=7.1051 b=12.2438 c=8.2275 alpha=90.00 beta=106.79 gamma=90.00
Space group C2/m (No. 12)
Asymmetric unit:
1 K 0.0000 0.1682 0.0000 (multiplicity 4)
2 Sc 0.0000 0.0000 0.5000 (multiplicity 2)
3 U 0.0000 0.3337 0.5000 (multiplicity 4)
4 Se 0.2286 0.1613 0.6988 (multiplicity 8)
5 Se 0.2457 0.5000 0.6983 (multiplicity 4)

(5)
A plane-wave DFT calculation with PBE-GGA was carried out for crystalline K4TaSe4 at its relaxed geometry.

DFT total energy = -4.334 eV per atom
Energy relative to the elements, uncorrected = -0.98 eV/atom

Unit cell a=7.9021 b=7.9021 c=12.5809 alpha=90.00 beta=90.00 gamma=90.00
Space group I-42m (No. 121)
Asymmetric unit:
1 K 0.0000 0.0000 0.1872 (multiplicity 4)
2 K 0.0000 0.5000 0.0000 (multiplicity 4)
3 Ta 0.0000 0.0000 0.5000 (multiplicity 2)
4 Se 0.1819 0.1819 0.3902 (multiplicity 8)

(6)
A plane-wave DFT calculation with PBE-GGA was carried out for crystalline MgCuSO at its relaxed geometry.

DFT total energy = -4.904 eV per atom
Polymorph energy (0 for the lowest one) = 0.020 eV per atom
Energy relative to the elements, uncorrected = -1.21 eV/atom

Unit cell a=3.3379 b=5.5667 c=7.1658 alpha=93.61 beta=103.45 gamma=90.00
Space group P1 (No. 1)
Asymmetric unit:
1 Mg 0.0000 0.0000 0.0000 (multiplicity 1)
2 Mg 0.4685 0.5093 0.9359 (multiplicity 1)
3 Cu 0.3172 0.0725 0.6331 (multiplicity 1)
4 Cu 0.7274 0.4443 0.4492 (multiplicity 1)
5 S 0.1745 0.2058 0.3438 (multiplicity 1)
6 S 0.2939 0.6613 0.5827 (multiplicity 1)
7 O 0.0045 0.6587 0.0080 (multiplicity 1)
8 O 0.4524 0.1474 0.9046 (multiplicity 1)

(7)
A plane-wave DFT calculation with PBE-GGA was carried out for crystalline Pd2RhCl at its relaxed geometry.

DFT total energy = -4.367 eV per atom
Polymorph energy (0 for the lowest one) = 0.027 eV per atom
Energy relative to the elements, uncorrected = 0.53 eV/atom

Unit cell a=6.3419 b=6.3419 c=6.3419 alpha=90.00 beta=90.00 gamma=90.00
Space group Fm-3m (No. 225)
Asymmetric unit:
1 Pd 0.2500 0.2500 0.2500 (multiplicity 8)
2 Rh 0.0000 0.0000 0.0000 (multiplicity 4)
3 Cl 0.0000 0.0000 0.5000 (multiplicity 4)

(8)
A plane-wave DFT calculation with PBE-GGA was carried out for crystalline CdPt3S at its relaxed geometry.

DFT total energy = -2.968 eV per atom
Polymorph energy (0 for the lowest one) = 1.501 eV per atom
Energy relative to the elements, uncorrected = 1.66 eV/atom

Unit cell a=4.9565 b=4.9565 c=4.9565 alpha=90.00 beta=90.00 gamma=90.00
Space group Pm-3m (No. 221)
Asymmetric unit:
1 Cd 0.0000 0.0000 0.0000 (multiplicity 1)
2 Pt 0.0000 0.0000 0.5000 (multiplicity 3)
3 S 0.5000 0.5000 0.5000 (multiplicity 1)

(9)
A plane-wave DFT calculation with PBE-GGA was carried out for crystalline AcSnGe at its relaxed geometry.

DFT total energy = -4.796 eV per atom
Polymorph energy (0 for the lowest one) = 0.000 eV per atom
ΔH_f (0 K) = -0.553 eV/atom

Unit cell a=12.3819 b=4.3877 c=8.8273 alpha=90.00 beta=131.55 gamma=90.00
Space group C2/m (No. 12)
Asymmetric unit:
1 Ac 0.2453 0.0000 0.2294 (multiplicity 4)
2 Sn 0.0297 0.0000 0.3567 (multiplicity 4)
3 Ge 0.0264 0.5000 0.8791 (multiplicity 4)

(10)
A plane-wave DFT calculation with PBE-GGA was carried out for crystalline Ac6CoRu2 at its relaxed geometry.

DFT total energy = -5.729 eV per atom
ΔH_f (0 K) = -0.140 eV/atom

Unit cell a=18.0397 b=4.3225 c=8.2337 alpha=90.00 beta=99.41 gamma=90.00
Space group C2/m (No. 12)
Asymmetric unit:
1 Ac 0.0024 0.0000 0.2377 (multiplicity 4)
2 Ac 0.1627 0.5000 0.0877 (multiplicity 4)
3 Ac 0.1691 0.5000 0.5741 (multiplicity 4)
4 Co 0.0000 0.5000 0.0000 (multiplicity 2)
5 Ru 0.1641 0.0000 0.3278 (multiplicity 4)

(11)
A plane-wave DFT calculation with PBE-GGA was carried out for crystalline LiTaI2N at its relaxed geometry.

DFT total energy = -5.241 eV per atom
Polymorph energy (0 for the lowest one) = 0.000 eV per atom
Energy relative to the elements, uncorrected = -0.20 eV/atom

Unit cell a=5.7753 b=5.7753 c=3.9487 alpha=90.00 beta=90.00 gamma=90.00
Space group P4/mmm (No. 123)
Asymmetric unit:
1 Li 0.0000 0.0000 0.0000 (multiplicity 1)
2 Ta 0.5000 0.5000 0.5000 (multiplicity 1)
3 I 0.0000 0.5000 0.5000 (multiplicity 2)
4 N 0.5000 0.5000 0.0000 (multiplicity 1)

(12)
A plane-wave DFT calculation with PBE-GGA was carried out for crystalline Rh5Se3 at its relaxed geometry.

DFT total energy = -5.911 eV per atom
Polymorph energy (0 for the lowest one) = 0.000 eV per atom
Energy relative to the elements, uncorrected = -0.01 eV/atom

Unit cell a=7.5147 b=7.5147 c=5.4384 alpha=90.00 beta=90.00 gamma=120.00
Space group P6_3/mcm (No. 193)
Asymmetric unit:
1 Rh 0.0000 0.3628 0.2500 (multiplicity 6)
2 Rh 0.3333 0.6667 0.0000 (multiplicity 4)
3 Se 0.0000 0.3068 0.7500 (multiplicity 6)